This record from Alexandria describes a geometry-optimized Cs2Mg3CoF12 structure. The functional is PBE+U.

The structure belongs to space group R-3m (No. 166, hexagonal axes); the cell edges are 7.3089, 7.3089 and 18.0942 Å and the angles 90.00°, 90.00° and 120.00°. Symmetry generates all atoms from Cs at (0.0000, 0.0000, 0.1203), Mg at (0.0000, 0.5000, 0.0000), Co at (0.0000, 0.0000, 0.5000), F at (0.0762, 0.5381, 0.3603) and F at (0.0955, 0.5478, 0.1102).

The value obtained for the total magnetization is 1.1 μB/f.u. The calculation puts the total energy at -4.75 eV per atom.